Entry 1:
CeHo2Zn2Rh5 | the Alexandria database | PBE | optimized geometry; magnetic moment = 0.00 μB per formula unit; E_tot = -6.17 eV/atom; V = 17.8 A^3/atom; ΔE_f = -70.06 kJ per mole of atoms
1.0
9.808 0.000 0.000
0.000 9.808 0.000
0.000 0.000 3.693
Ce Ho Zn Rh
2 4 4 10
Direct
0.000 0.000 0.000 Ce
0.500 0.500 0.000 Ce
0.169 0.331 0.000 Ho
0.331 0.831 0.000 Ho
0.669 0.169 0.000 Ho
0.831 0.669 0.000 Ho
0.125 0.625 0.000 Zn
0.375 0.125 0.000 Zn
0.625 0.875 0.000 Zn
0.875 0.375 0.000 Zn
0.000 0.500 0.500 Rh
0.072 0.795 0.500 Rh
0.205 0.072 0.500 Rh
0.295 0.572 0.500 Rh
0.428 0.295 0.500 Rh
0.500 0.000 0.500 Rh
0.572 0.705 0.500 Rh
0.705 0.428 0.500 Rh
0.795 0.928 0.500 Rh
0.928 0.205 0.500 Rh

Entry 2:
Ce5HoRu4 | the Alexandria database | PBE | optimized geometry; magnetic moment = 1.09 μB per formula unit; E_tot = -7.31 eV/atom; V = 25.6 A^3/atom; ΔE_f = -17.33 kJ per mole of atoms
1.0
7.942 0.000 0.000
0.000 9.501 0.000
0.000 0.000 6.790
Ce Ho Ru
10 2 8
Direct
0.016 0.059 0.222 Ce
0.016 0.441 0.222 Ce
0.250 0.750 0.395 Ce
0.484 0.059 0.222 Ce
0.484 0.441 0.222 Ce
0.516 0.559 0.778 Ce
0.516 0.941 0.778 Ce
0.750 0.250 0.605 Ce
0.984 0.559 0.778 Ce
0.984 0.941 0.778 Ce
0.250 0.250 0.749 Ho
0.750 0.750 0.251 Ho
0.072 0.750 0.011 Ru
0.250 0.005 0.488 Ru
0.250 0.495 0.488 Ru
0.428 0.750 0.011 Ru
0.572 0.250 0.989 Ru
0.750 0.505 0.512 Ru
0.750 0.995 0.512 Ru
0.928 0.250 0.989 Ru

Entry 3:
Ce5HoRu5 | the Alexandria database | PBE | optimized geometry; magnetic moment = 0.00 μB per formula unit; E_tot = -7.55 eV/atom; V = 23.8 A^3/atom; ΔE_f = -21.54 kJ per mole of atoms
1.0
6.253 -2.831 0.000
6.253 2.831 0.000
-2.653 0.000 7.406
Ce Ho Ru
5 1 5
Direct
0.000 0.000 0.000 Ce
0.327 0.327 0.158 Ce
0.339 0.339 0.658 Ce
0.661 0.661 0.342 Ce
0.673 0.673 0.842 Ce
0.000 0.000 0.500 Ho
0.146 0.146 0.292 Ru
0.197 0.197 0.826 Ru
0.500 0.500 0.500 Ru
0.803 0.803 0.174 Ru
0.854 0.854 0.708 Ru

Entry 4:
CeHo2Ru2 | the Alexandria database | PBE | optimized geometry; magnetic moment = 0.00 μB per formula unit; E_tot = -7.06 eV/atom; relative energy among the computed polymorphs = 115 meV/atom; V = 24.2 A^3/atom; ΔE_f = -31.54 kJ per mole of atoms
1.0
5.757 -2.634 0.000
5.757 2.634 0.000
-3.601 0.000 7.965
Ce Ho Ru
2 4 4
Direct
0.186 0.186 0.106 Ce
0.814 0.814 0.894 Ce
0.150 0.150 0.510 Ho
0.481 0.481 0.770 Ho
0.519 0.519 0.230 Ho
0.850 0.850 0.490 Ho
0.101 0.101 0.816 Ru
0.357 0.357 0.394 Ru
0.643 0.643 0.606 Ru
0.899 0.899 0.184 Ru

Entry 5:
CeHoRu | the Alexandria database | PBE | optimized geometry; magnetic moment = 0.67 μB per formula unit; E_tot = -6.79 eV/atom; relative energy among the computed polymorphs = 182 meV/atom; V = 25.9 A^3/atom; ΔE_f = -18.40 kJ per mole of atoms
1.0
0.000 3.388 3.388
3.388 0.000 3.388
3.388 3.388 0.000
Ce Ho Ru
1 1 1
Direct
0.000 0.000 0.000 Ce
0.500 0.500 0.500 Ho
0.750 0.750 0.750 Ru

Entry 6:
CeHo5Ru3 | the Alexandria database | PBE | optimized geometry; magnetic moment = 0.00 μB per formula unit; E_tot = -6.55 eV/atom; V = 27.7 A^3/atom; ΔE_f = -24.66 kJ per mole of atoms
1.0
6.058 -4.484 0.000
6.058 4.484 0.000
-3.125 0.000 9.194
Ce Ho Ru
2 10 6
Direct
0.080 0.080 0.286 Ce
0.920 0.920 0.714 Ce
0.006 0.619 0.351 Ho
0.237 0.237 0.044 Ho
0.306 0.694 0.000 Ho
0.381 0.994 0.649 Ho
0.467 0.467 0.653 Ho
0.533 0.533 0.347 Ho
0.619 0.006 0.351 Ho
0.694 0.306 0.000 Ho
0.763 0.763 0.956 Ho
0.994 0.381 0.649 Ho
0.000 0.000 0.000 Ru
0.000 0.000 0.500 Ru
0.291 0.291 0.376 Ru
0.340 0.340 0.833 Ru
0.660 0.660 0.167 Ru
0.709 0.709 0.624 Ru